Record 1
TaSiTcMo: optimized geometry, PBE.

space group	F-43m (216)
crystal system	cubic

Cell: 4.4068 4.4068 4.4068 Å, 60.00 60.00 60.00°
Closest atoms and distances in Å follow each position.
Atoms (fractional coordinates):
Mo 0.5000 0.5000 0.5000  4 Si 2.70, 4 Ta 2.70
Si 0.7500 0.7500 0.7500  4 Mo 2.70, 4 Tc 2.70
Tc 0.0000 0.0000 0.0000  4 Ta 2.70, 4 Si 2.70
Ta 0.2500 0.2500 0.2500  4 Mo 2.70, 4 Tc 2.70

***

Record 2
ReSiIr2: optimized geometry, PBE.

space group	Pmmm (47)
crystal system	orthorhombic

Cell: 2.7750 4.5774 4.5305 Å, 90.00 90.00 90.00°
Closest atoms and distances in Å follow each position.
Atoms (fractional coordinates):
Ir 0.0000 0.0000 0.0000  4 Re 2.66, 6 Ir 2.68-2.78
Ir 0.5000 0.5000 0.0000  4 Si 2.66, 6 Ir 2.68-2.78
Re 0.5000 0.0000 0.5000  4 Ir 2.66, 4 Si 2.68, 2 Re 2.78
Si 0.0000 0.5000 0.5000  4 Ir 2.66, 4 Re 2.68, 2 Si 2.78

***

Record 3
Ce3DyC8: optimized geometry, PBE.

space group	Fmm2 (42)
crystal system	orthorhombic
formation energy from the elements	0.108	eV per atom

Cell: 6.4973 6.0897 6.4962 Å, 65.86 76.51 114.15°
Closest atoms and distances in Å follow each position.
Atoms (fractional coordinates):
Ce 0.8067 0.4999 0.6934  6 C 2.53-2.72
Ce 0.3069 0.5001 0.1932  6 C 2.53-2.72
Ce 0.4980 0.0000 0.5018  8 C 2.48-2.77
Dy 0.0046 0.0000 0.9956  8 C 2.46-2.54
C 0.0628 0.0000 0.6074  1 C 1.32
C 0.5881 0.6795 0.4120  1 C 1.31
C 0.9085 0.3205 0.0915  1 C 1.31
C 0.3925 0.0000 0.9370  1 C 1.32
C 0.8544 0.0000 0.6679  1 C 1.32
C 0.6198 0.4944 0.3802  1 C 1.31
C 0.1254 0.5056 0.8746  1 C 1.31
C 0.3325 0.0000 0.1455  1 C 1.32

***

Record 4
Ba2LaAu: optimized geometry, PBE.

space group	P4mm (99)
crystal system	tetragonal
formation energy from the elements	-0.322	eV per atom
energy above the lowest structure with this stoichiometry	0	meV per atom

Cell: 4.0091 4.0091 10.5354 Å, 90.00 90.00 90.00°
Closest atoms and distances in Å follow each position.
Atoms (fractional coordinates):
Au 0.5000 0.5000 0.7151  4 La 3.16
Ba 0.0000 0.0000 0.9253  4 Au 3.60, 1 La 3.61, 4 Ba 4.01
Ba 0.5000 0.5000 0.2772  4 Ba 4.01, 4 La 4.29
La 0.0000 0.0000 0.5824  4 Au 3.16

***

Record 5
Mg2NbCl: optimized geometry, PBE.

space group	I-42d (122)
crystal system	tetragonal
energy above the lowest structure with this stoichiometry	0	meV per atom

Cell: 7.6696 7.6696 6.1113 Å, 51.13 51.13 90.00°
Closest atoms and distances in Å follow each position.
Atoms (fractional coordinates):
Nb 0.0000 0.0000 0.0000  2 Cl 2.82, 4 Mg 3.01
Nb 0.7500 0.2500 0.5000  2 Cl 2.82, 4 Mg 3.01
Mg 0.5870 0.1250 0.2500  2 Cl 2.61, 2 Mg 2.88
Mg 0.1630 0.6250 0.2500  2 Cl 2.61, 2 Mg 2.88
Mg 0.3750 0.4130 0.7500  2 Cl 2.61, 2 Mg 2.88
Mg 0.8750 0.8370 0.7500  2 Cl 2.61, 2 Mg 2.88
Cl 0.5000 0.5000 0.0000  4 Mg 2.61, 2 Nb 2.82
Cl 0.2500 0.7500 0.5000  4 Mg 2.61, 2 Nb 2.82

***

Record 6
NaNb2Cu: optimized geometry, PBE.

space group	I-42d (122)
crystal system	tetragonal
formation energy from the elements	0.863	eV per atom
energy above the lowest structure with this stoichiometry	19	meV per atom

Cell: 3.7843 3.7843 10.9969 Å, 80.09 80.09 90.00°
Closest atoms and distances in Å follow each position.
Atoms (fractional coordinates):
Na 0.5000 0.5000 0.0000  4 Cu 2.68
Na 0.2500 0.7500 0.5000  4 Cu 2.68
Nb 0.6382 0.1250 0.2500  4 Nb 2.61-2.75
Nb 0.1118 0.6250 0.2500  4 Nb 2.61-2.75
Nb 0.3750 0.3618 0.7500  4 Nb 2.61-2.75
Nb 0.8750 0.8882 0.7500  4 Nb 2.61-2.75
Cu 0.0000 0.0000 0.0000  4 Na 2.68, 4 Nb 2.97
Cu 0.7500 0.2500 0.5000  4 Na 2.68, 4 Nb 2.97

***

| no. | final energy (eV/atom) |
| --- | --- |
| 1 | -9.892 |
| 2 | -8.847 |
| 3 | -7.908 |
| 4 | -3.335 |
| 5 | -3.444 |
| 6 | -5.525 |